No. 1
# Ba2TeMo | Alexandria | GGA-PBE | optimized geometry
# formation energy (no corrections): 100 meV/atom
data_Ba2TeMo
_chemical_formula_sum 'Ba2 Te1 Mo1'
_space_group_name_H-M_alt 'P 4/m m m'
_space_group_IT_number 123
_space_group_name_Hall '-P 4 2'
_cell_length_a 4.299
_cell_length_b 4.299
_cell_length_c 8.133
_cell_angle_alpha 90.00
_cell_angle_beta 90.00
_cell_angle_gamma 90.00
loop_
_atom_site_label
_atom_site_type_symbol
_atom_site_fract_x
_atom_site_fract_y
_atom_site_fract_z
Ba1 Ba 0.000 0.000 0.245
Te1 Te 0.500 0.500 0.000
Mo1 Mo 0.500 0.500 0.500


No. 2
# Ba2TeMo | Alexandria | GGA-PBE | optimized geometry
# formation energy (no corrections): 189 meV/atom
data_Ba2TeMo
_chemical_formula_sum 'Ba6 Te3 Mo3'
_space_group_name_H-M_alt 'R -3 m'
_space_group_IT_number 166
_space_group_name_Hall '-R 3 2"'
_cell_length_a 4.7813
_cell_length_b 4.7813
_cell_length_c 26.1048
_cell_angle_alpha 90.00
_cell_angle_beta 90.00
_cell_angle_gamma 120.00
loop_
_atom_site_label
_atom_site_type_symbol
_atom_site_fract_x
_atom_site_fract_y
_atom_site_fract_z
Ba1 Ba 0.0000 0.0000 0.2470
Te1 Te 0.0000 0.0000 0.5000
Mo1 Mo 0.0000 0.0000 0.0000


No. 3
# BaTe2Mo | Alexandria | GGA-PBE | optimized geometry
# formation energy (no corrections): -47 meV/atom
# ΔE to the lowest computed polymorph: 438 meV/atom
data_BaTe2Mo
_chemical_formula_sum 'Ba1 Te2 Mo1'
_space_group_name_H-M_alt 'P 4/m m m'
_space_group_IT_number 123
_space_group_name_Hall '-P 4 2'
_cell_length_a 5.565
_cell_length_b 5.565
_cell_length_c 3.977
_cell_angle_alpha 90.00
_cell_angle_beta 90.00
_cell_angle_gamma 90.00
loop_
_atom_site_label
_atom_site_type_symbol
_atom_site_fract_x
_atom_site_fract_y
_atom_site_fract_z
Ba1 Ba 0.000 0.000 0.000
Te1 Te 0.000 0.500 0.500
Mo1 Mo 0.500 0.500 0.000


No. 4
# BaTeMo2 | Alexandria | GGA-PBE | optimized geometry
# formation energy (no corrections): 472 meV/atom
data_BaTeMo2
_chemical_formula_sum 'Ba3 Te3 Mo6'
_space_group_name_H-M_alt 'R 3 m'
_space_group_IT_number 160
_space_group_name_Hall 'R 3 -2"'
_cell_length_a 3.4775
_cell_length_b 3.4775
_cell_length_c 28.7288
_cell_angle_alpha 90.00
_cell_angle_beta 90.00
_cell_angle_gamma 120.00
loop_
_atom_site_label
_atom_site_type_symbol
_atom_site_fract_x
_atom_site_fract_y
_atom_site_fract_z
Ba1 Ba 0.0000 0.0000 0.0000
Te1 Te 0.0000 0.0000 0.7739
Mo1 Mo 0.0000 0.0000 0.2360
Mo2 Mo 0.0000 0.0000 0.5146


No. 5
# BaTe3Mo | Alexandria | GGA-PBE | optimized geometry
# formation energy (no corrections): 1103 meV/atom
# ΔE to the lowest computed polymorph: 1507 meV/atom
data_BaTe3Mo
_chemical_formula_sum 'Ba1 Te3 Mo1'
_space_group_name_H-M_alt 'P m -3 m'
_space_group_IT_number 221
_space_group_name_Hall '-P 4 2 3'
_cell_length_a 6.481
_cell_length_b 6.481
_cell_length_c 6.481
_cell_angle_alpha 90.00
_cell_angle_beta 90.00
_cell_angle_gamma 90.00
loop_
_atom_site_label
_atom_site_type_symbol
_atom_site_fract_x
_atom_site_fract_y
_atom_site_fract_z
Ba1 Ba 0.000 0.000 0.000
Te1 Te 0.000 0.000 0.500
Mo1 Mo 0.500 0.500 0.500


No. 6
# BaTeMo2 | Alexandria | GGA-PBE | optimized geometry
# formation energy (no corrections): 964 meV/atom
data_BaTeMo2
_chemical_formula_sum 'Ba2 Te2 Mo4'
_space_group_name_H-M_alt 'I m m m'
_space_group_IT_number 71
_space_group_name_Hall '-I 2 2'
_cell_length_a 3.147
_cell_length_b 5.666
_cell_length_c 10.691
_cell_angle_alpha 90.00
_cell_angle_beta 90.00
_cell_angle_gamma 90.00
loop_
_atom_site_label
_atom_site_type_symbol
_atom_site_fract_x
_atom_site_fract_y
_atom_site_fract_z
Ba1 Ba 0.000 0.000 0.000
Te1 Te 0.000 0.000 0.500
Mo1 Mo 0.000 0.500 0.212


No. 7
# BaTe2Mo | Alexandria | GGA-PBE | optimized geometry
# formation energy (no corrections): -328 meV/atom
# ΔE to the lowest computed polymorph: 157 meV/atom
data_BaTe2Mo
_chemical_formula_sum 'Ba1 Te2 Mo1'
_space_group_name_H-M_alt 'P 1 2/m 1'
_space_group_IT_number 10
_space_group_name_Hall '-P 2y'
_cell_length_a 4.558
_cell_length_b 4.142
_cell_length_c 7.701
_cell_angle_alpha 90.00
_cell_angle_beta 96.51
_cell_angle_gamma 90.00
loop_
_atom_site_label
_atom_site_type_symbol
_atom_site_fract_x
_atom_site_fract_y
_atom_site_fract_z
Ba1 Ba 0.000 0.000 0.000
Te1 Te 0.447 0.500 0.743
Mo1 Mo 0.500 0.000 0.500


No. 8
# BaTeMo4 | Alexandria | GGA-PBE | optimized geometry
# formation energy (no corrections): 842 meV/atom
data_BaTeMo4
_chemical_formula_sum 'Ba4 Te4 Mo16'
_space_group_name_H-M_alt 'F -4 3 m'
_space_group_IT_number 216
_space_group_name_Hall 'F -4 2 3'
_cell_length_a 7.916
_cell_length_b 7.916
_cell_length_c 7.916
_cell_angle_alpha 90.00
_cell_angle_beta 90.00
_cell_angle_gamma 90.00
loop_
_atom_site_label
_atom_site_type_symbol
_atom_site_fract_x
_atom_site_fract_y
_atom_site_fract_z
Ba1 Ba 0.000 0.000 0.000
Te1 Te 0.250 0.250 0.250
Mo1 Mo 0.121 0.121 0.621


No. 9
# BaTeMo2 | Alexandria | GGA-PBE | optimized geometry
# formation energy (no corrections): 1138 meV/atom
data_BaTeMo2
_chemical_formula_sum 'Ba2 Te2 Mo4'
_space_group_name_H-M_alt 'C m m m'
_space_group_IT_number 65
_space_group_name_Hall '-C 2 2'
_cell_length_a 3.631
_cell_length_b 5.413
_cell_length_c 9.387
_cell_angle_alpha 90.00
_cell_angle_beta 90.00
_cell_angle_gamma 90.00
loop_
_atom_site_label
_atom_site_type_symbol
_atom_site_fract_x
_atom_site_fract_y
_atom_site_fract_z
Ba1 Ba 0.000 0.000 0.000
Te1 Te 0.000 0.000 0.500
Mo1 Mo 0.000 0.500 0.292


No. 10
# BaTeMo | Alexandria | GGA-PBE | optimized geometry
# formation energy (no corrections): 104 meV/atom
# ΔE to the lowest computed polymorph: 323 meV/atom
data_BaTeMo
_chemical_formula_sum 'Ba2 Te2 Mo2'
_space_group_name_H-M_alt 'I 4 m m'
_space_group_IT_number 107
_space_group_name_Hall 'I 4 -2'
_cell_length_a 3.616
_cell_length_b 3.616
_cell_length_c 12.634
_cell_angle_alpha 90.00
_cell_angle_beta 90.00
_cell_angle_gamma 90.00
loop_
_atom_site_label
_atom_site_type_symbol
_atom_site_fract_x
_atom_site_fract_y
_atom_site_fract_z
Ba1 Ba 0.000 0.000 0.000
Te1 Te 0.000 0.000 0.718
Mo1 Mo 0.000 0.000 0.305


No. 11
# BaTe2Mo | Alexandria | GGA-PBE | optimized geometry
# formation energy (no corrections): -485 meV/atom
# ΔE to the lowest computed polymorph: 0 meV/atom
data_BaTe2Mo
_chemical_formula_sum 'Ba3 Te6 Mo3'
_space_group_name_H-M_alt 'R -3 m'
_space_group_IT_number 166
_space_group_name_Hall '-R 3 2"'
_cell_length_a 4.4246
_cell_length_b 4.4246
_cell_length_c 21.5141
_cell_angle_alpha 90.00
_cell_angle_beta 90.00
_cell_angle_gamma 120.00
loop_
_atom_site_label
_atom_site_type_symbol
_atom_site_fract_x
_atom_site_fract_y
_atom_site_fract_z
Ba1 Ba 0.0000 0.0000 0.0000
Te1 Te 0.0000 0.0000 0.2279
Mo1 Mo 0.0000 0.0000 0.5000


No. 12
# BaTeMo2 | Alexandria | GGA-PBE | optimized geometry
# formation energy (no corrections): 1095 meV/atom
data_BaTeMo2
_chemical_formula_sum 'Ba1 Te1 Mo2'
_space_group_name_H-M_alt 'P 4/m m m'
_space_group_IT_number 123
_space_group_name_Hall '-P 4 2'
_cell_length_a 4.810
_cell_length_b 4.810
_cell_length_c 3.752
_cell_angle_alpha 90.00
_cell_angle_beta 90.00
_cell_angle_gamma 90.00
loop_
_atom_site_label
_atom_site_type_symbol
_atom_site_fract_x
_atom_site_fract_y
_atom_site_fract_z
Ba1 Ba 0.000 0.000 0.000
Te1 Te 0.500 0.500 0.000
Mo1 Mo 0.000 0.500 0.500